The following is a DFT calculation (PBE with a Hubbard U) of MnIn3O6 after structural relaxation.

Unit cell a=6.3885 b=6.3885 c=6.3885 alpha=92.26 beta=92.26 gamma=92.26
With the nearest neighbours (Å) after each atom.
Fractional positions:
O 0.0730 0.3174 0.9001  3 In 2.13-2.25, 1 Mn 2.19
O 0.7960 0.4656 0.5842  1 Mn 1.97
O 0.2040 0.5344 0.4158  1 Mn 1.97
O 0.9001 0.0730 0.3174  3 In 2.13-2.25, 1 Mn 2.19
O 0.0999 0.9270 0.6826  3 In 2.13-2.25, 1 Mn 2.19
O 0.3174 0.9001 0.0730  3 In 2.13-2.25, 1 Mn 2.19
O 0.5842 0.7960 0.4656  1 Mn 1.97
O 0.4158 0.2040 0.5344  1 Mn 1.97
O 0.5344 0.4158 0.2040  1 Mn 1.97
O 0.9270 0.6826 0.0999  3 In 2.13-2.25, 1 Mn 2.19
O 0.4656 0.5842 0.7960  1 Mn 1.97
O 0.6826 0.0999 0.9270  3 In 2.13-2.25, 1 Mn 2.19
In 0.9313 0.7487 0.4383  6 O 2.13-2.26
In 0.4383 0.9313 0.7487  6 O 2.13-2.26
In 0.0687 0.2513 0.5617  6 O 2.13-2.26
In 0.5617 0.0687 0.2513  6 O 2.13-2.26
In 0.7487 0.4383 0.9313  6 O 2.13-2.26
In 0.2513 0.5617 0.0687  6 O 2.13-2.26
Mn 0.0000 0.0000 0.0000  6 O 2.19
Mn 0.5000 0.5000 0.5000  6 O 1.97

Computed properties:
* DFT total energy: -6.08 eV/atom
* M_tot: 4.0 μB per formula unit